Entry 1:
Material: Ru4Pt3
Method: DFT, PBE
State: optimized geometry

extended XYZ file:
```
7
Lattice="-1.658 1.658 9.601 1.658 -1.658 9.601 1.658 1.658 -9.601" Properties=species:S:1:pos:R:3 pbc="T T T"
Ru 0.000 0.000 8.208
Ru 0.000 0.000 10.993
Ru 0.000 0.000 2.673
Ru 0.000 0.000 16.528
Pt 0.000 0.000 0.000
Pt 0.000 0.000 13.691
Pt 0.000 0.000 5.510
```

Computed properties:
ΔE_f = 0.25 eV/atom
energy relative to the lowest polymorph listed for this composition = 282.6 meV per atom
DOS(E_F) = 1.11 states/eV per atom
symmetry = I4/mmm, No. 139

Entry 2:
Material: Sm3Mg2Ag4
Method: DFT, PBE
State: optimized geometry

extended XYZ file:
```
9
Lattice="-2.489 4.048 -0.837 0.023 -1.809 5.088 7.738 5.024 1.286" Properties=species:S:1:pos:R:3 pbc="T T T"
Ag 4.930 3.300 1.300
Ag 0.343 3.963 4.236
Ag -1.088 2.525 1.537
Ag 6.361 4.738 3.999
Sm 0.000 0.000 0.000
Sm 1.500 4.097 1.446
Sm 3.773 3.165 4.090
Mg 4.363 6.013 2.198
Mg 0.910 1.250 3.337
```

Computed properties:
ΔE_f = -0.23 eV/atom
energy relative to the lowest polymorph listed for this composition = 8.3 meV per atom
DOS(E_F) = 0.72 states/eV per atom
symmetry = C2/m, No. 12

Entry 3:
Material: Tb4InCu2
Method: DFT, PBE
State: optimized geometry

extended XYZ file:
```
7
Lattice="-1.871 0.338 -4.541 1.768 -2.843 -3.608 -6.021 -7.098 -0.716" Properties=species:S:1:pos:R:3 pbc="T T T"
In 0.000 0.000 0.000
Tb -2.343 -3.251 -1.945
Tb -3.780 -6.353 -6.920
Tb -0.972 -2.615 -5.131
Tb -5.151 -6.988 -3.734
Cu -1.883 -4.368 -7.554
Cu -4.241 -5.236 -1.311
```

Computed properties:
ΔE_f = -0.07 eV/atom
DOS(E_F) = 1.19 states/eV per atom
symmetry = R-3m, No. 166

Entry 4:
Material: CeYSb
Method: DFT, PBE
State: optimized geometry

extended XYZ file:
```
3
Lattice="4.049 0.000 0.000 0.000 4.049 0.000 -2.024 -2.024 5.234" Properties=species:S:1:pos:R:3 pbc="T T T"
Sb 2.024 2.024 1.140
Ce 0.000 0.000 2.834
Y 2.024 2.024 4.923
```

Computed properties:
raw formation energy = -0.5689 eV per atom
DOS(E_F) = 2.62 states/eV per atom
symmetry = I4mm, No. 107

Entry 5:
Material: Pr3Tm4Sc
Method: DFT, PBE
State: optimized geometry

extended XYZ file:
```
8
Lattice="0.143 2.119 -2.757 4.666 -8.535 -6.318 -8.242 1.313 2.777" Properties=species:S:1:pos:R:3 pbc="T T T"
Pr -2.807 -0.911 -0.846
Pr -0.627 -4.192 -5.451
Pr 2.333 -4.267 -3.159
Tm -0.363 -1.513 -3.378
Tm -3.070 -3.590 -2.919
Tm 2.046 -5.921 -6.641
Tm -5.480 0.818 0.344
Sc 0.072 1.059 -1.378
```

Computed properties:
ΔE_f = 0.14 eV/atom
energy relative to the lowest polymorph listed for this composition = 106.9 meV per atom
DOS(E_F) = 1.47 states/eV per atom
symmetry = Immm, No. 71

Entry 6:
Material: ZrPtW2
Method: DFT, PBE
State: optimized geometry

extended XYZ file:
```
4
Lattice="-0.908 2.841 -3.321 -2.086 1.093 1.506 2.562 4.196 2.889" Properties=species:S:1:pos:R:3 pbc="T T T"
Pt -0.233 5.462 1.737
W 0.021 0.103 0.082
W -0.300 2.582 -0.709
Zr 0.318 2.628 2.162
```

Computed properties:
ΔE_f = -0.09 eV/atom
energy relative to the lowest polymorph listed for this composition = 83.3 meV per atom
DOS(E_F) = 0.80 states/eV per atom
symmetry = Pm, No. 6